# SrMg2Bi2

A PBEsol-optimized structure of SrMg2Bi2 (SCAN, Alexandria).

Properties
Symmetry: I4/mmm (139)
Crystal system: tetragonal
Total moment: 0.00 μB per cell
Uncorrected energy: -192.3 eV for the cell shown

Cell lengths 4.538, 4.538, 8.053 Å; angles 106.37, 106.37, 90.00 degrees
Sites, in units of the cell vectors:
Sr1 0.000 0.000 0.000
Mg1 0.750 0.250 0.500
Mg2 0.250 0.750 0.500
Bi1 0.621 0.621 0.241
Bi2 0.379 0.379 0.759